Below is KZrHg2 after structural relaxation, with properties calculated at the PBE-GGA level.

Values from the calculation:
* total moment: 0.00 Bohr magnetons per cell
* uncorrected energy: -2.406 eV per atom
* V: 27.458 Å³ per atom

Cell and atoms, written as POSCAR:
```
KZrHg2
1.0
-0.735 -0.259 3.076
1.268 -5.024 -0.119
6.286 1.548 1.633
Hg Zr K
2 1 1
Direct
0.000 0.000 0.936 Hg
0.500 0.500 0.277 Hg
0.500 0.500 0.838 Zr
0.000 0.000 0.449 K
```


Below is Er6AgSe5 after structural relaxation, with properties calculated at the PBE-GGA level.

Values from the calculation:
* formation energy from raw total energies: -1463 meV/atom
* total moment: 0.00 Bohr magnetons per cell
* V: 23.745 Å³ per atom

Cell and atoms, written as POSCAR:
```
Er6AgSe5
1.0
-4.319 -5.574 -0.085
4.350 1.189 -5.422
4.659 -2.189 4.793
Er Se Ag
6 5 1
Direct
0.249 0.249 0.750 Er
0.751 0.751 0.250 Er
0.415 0.081 0.247 Er
0.919 0.585 0.753 Er
0.081 0.415 0.247 Er
0.585 0.919 0.753 Er
0.500 0.500 0.500 Se
0.170 0.830 0.500 Se
0.830 0.170 0.500 Se
0.335 0.665 0.000 Se
0.665 0.335 0.000 Se
0.000 0.000 0.000 Ag
```


Below is OsRuOF2 after structural relaxation, with properties calculated at the PBE-GGA level.

Values from the calculation:
* formation energy from raw total energies: 379 meV/atom
* total moment: 3.13 Bohr magnetons per cell
* V: 14.452 Å³ per atom

Cell and atoms, written as POSCAR:
```
OsRuOF2
1.0
-0.207 1.878 4.028
3.978 -1.721 1.007
1.627 2.992 -1.312
O F Os Ru
1 2 1 1
Direct
0.000 0.000 0.500 O
0.000 0.500 0.000 F
0.500 0.000 0.000 F
0.500 0.500 0.500 Os
0.000 0.000 0.000 Ru
```


Below is Sr2IrW after structural relaxation, with properties calculated at the PBE-GGA level.

Values from the calculation:
* total moment: 0.00 Bohr magnetons per cell
* uncorrected energy: -5.405 eV per atom
* V: 23.017 Å³ per atom

Cell and atoms, written as POSCAR:
```
Sr2IrW
1.0
-1.218 1.495 -2.385
-2.800 -0.376 1.194
0.924 8.462 4.830
W Ir Sr
1 1 2
Direct
0.500 0.500 0.250 W
0.500 0.500 0.750 Ir
0.000 0.000 0.526 Sr
0.000 0.000 0.974 Sr
```


Below is SiAs2Br after structural relaxation, with properties calculated at the PBE-GGA level.

Values from the calculation:
* formation energy from raw total energies: 312 meV/atom
* total moment: 0.00 Bohr magnetons per cell
* V: 25.087 Å³ per atom

Cell and atoms, written as POSCAR:
```
SiAs2Br
1.0
5.306 0.033 -0.012
4.153 3.302 -0.012
0.178 0.063 5.772
Si As Br
1 2 1
Direct
0.250 0.250 0.250 Si
0.574 0.574 0.368 As
0.926 0.926 0.132 As
0.750 0.750 0.750 Br
```


Below is YSi3O after structural relaxation, with properties calculated at the PBE-GGA level.

Values from the calculation:
* formation energy from raw total energies: 1628 meV/atom
* total moment: 2.57 Bohr magnetons per cell
* V: 31.346 Å³ per atom

Cell and atoms, written as POSCAR:
```
YSi3O
1.0
-2.174 -3.419 3.557
4.799 -0.565 2.391
-1.144 4.130 3.271
Y O Si
1 1 3
Direct
0.000 0.000 0.000 Y
0.500 0.500 0.500 O
0.500 0.000 0.000 Si
0.000 0.000 0.500 Si
0.000 0.500 0.000 Si
```